# 1
LiCaFe2Cu | PBE | optimized geometry

Cell and atoms, written as CIF:
```
data_LiCaFe2Cu
_space_group_name_H-M_alt 'P 4/m m m'
_space_group_IT_number 123
_space_group_name_Hall '-P 4 2'
_cell_length_a 4.342
_cell_length_b 4.342
_cell_length_c 4.454
_cell_angle_alpha 90.00
_cell_angle_beta 90.00
_cell_angle_gamma 90.00
loop_
_atom_site_label
_atom_site_fract_x
_atom_site_fract_y
_atom_site_fract_z
Li1 0.000 0.000 0.000
Ca1 0.500 0.500 0.500
Fe1 0.000 0.500 0.000
Cu1 0.000 0.000 0.500
```

***

# 2
CaMnFeCu2 | PBE | optimized geometry

Cell and atoms, written as CIF:
```
data_CaMnFeCu2
_space_group_name_H-M_alt 'P 4/m m m'
_space_group_IT_number 123
_space_group_name_Hall '-P 4 2'
_cell_length_a 4.580
_cell_length_b 4.580
_cell_length_c 5.037
_cell_angle_alpha 90.00
_cell_angle_beta 90.00
_cell_angle_gamma 90.00
loop_
_atom_site_label
_atom_site_fract_x
_atom_site_fract_y
_atom_site_fract_z
Ca1 0.000 0.000 0.000
Mn1 0.000 0.000 0.500
Fe1 0.500 0.500 0.000
Cu1 0.000 0.500 0.500
```

***

Ordered E_form results: 0.746 1.170; unit eV/atom.
Ordered DOS at the Fermi energy results: 7.6 4.3; unit states/eV/cell.
Ordered total moment results: 5.06 6.82; unit μB/cell.